This record from Alexandria describes an optimized crystal structure of ReIr5. The functional is PBE.

Lattice parameters (Å, degrees): 2.743 5.172 7.254 115.22 90.00 105.38
Atoms (fractional coordinates):
Re (0.282, 0.563, 0.055)
Ir (0.994, 0.989, 0.000)
Ir (0.286, 0.571, 0.682)
Ir (0.711, 0.422, 0.324)
Ir (0.566, 0.133, 0.731)
Ir (0.994, 0.989, 0.374)

=====

This record from Alexandria describes an optimized crystal structure of ReIr2. The functional is PBE.

Lattice parameters (Å, degrees): 4.372 4.372 5.453 90.00 90.00 120.00
Atoms (fractional coordinates):
Re (0.333, 0.667, 0.750)
Re (0.667, 0.333, 0.250)
Ir (0.000, 0.000, 0.000)
Ir (0.000, 0.000, 0.500)
Ir (0.333, 0.667, 0.250)
Ir (0.667, 0.333, 0.750)

=====

This record from Alexandria describes an optimized crystal structure of ReIr7. The functional is PBE.

Lattice parameters (Å, degrees): 5.479 5.479 5.479 60.00 60.00 60.00
Atoms (fractional coordinates):
Ir (0.500, 0.500, 0.000)
Ir (0.000, 0.500, 0.500)
Ir (0.500, 0.000, 0.500)
Ir (0.000, 0.500, 0.000)
Ir (0.500, 0.000, 0.000)
Ir (0.000, 0.000, 0.500)
Ir (0.500, 0.500, 0.500)
Re (0.000, 0.000, 0.000)

=====

This record from Alexandria describes an optimized crystal structure of ReIr. The functional is PBE.

Lattice parameters (Å, degrees): 6.867 6.867 6.867 90.00 90.00 90.00
Atoms (fractional coordinates):
Re (0.250, 0.500, 0.000)
Re (0.750, 0.500, 0.000)
Re (0.500, 0.000, 0.250)
Re (0.500, 0.000, 0.750)
Re (0.000, 0.250, 0.500)
Re (0.000, 0.750, 0.500)
Ir (0.250, 0.000, 0.500)
Ir (0.750, 0.000, 0.500)
Ir (0.000, 0.500, 0.250)
Ir (0.000, 0.500, 0.750)
Ir (0.500, 0.250, 0.000)
Ir (0.500, 0.750, 0.000)

=====

This record from Alexandria describes an optimized crystal structure of ReIr5. The functional is PBE.

Lattice parameters (Å, degrees): 5.062 5.062 4.440 90.00 90.00 120.00
Last column: magnetic moment on the atom in μB.
Atoms (fractional coordinates):
Re (0.000, 0.000, 0.000)  1.37
Ir (0.000, 0.500, 0.500)  0.09
Ir (0.333, 0.667, 0.000)  0.01
Ir (0.500, 0.000, 0.500)  0.09
Ir (0.500, 0.500, 0.500)  0.09
Ir (0.667, 0.333, 0.000)  0.01

=====

This record from Alexandria describes an optimized crystal structure of ReIr5. The functional is PBE.

Lattice parameters (Å, degrees): 5.088 5.088 5.088 60.00 60.00 60.00
Atoms (fractional coordinates):
Re (0.000, 0.000, 0.000)
Ir (0.625, 0.625, 0.125)
Ir (0.250, 0.250, 0.250)
Ir (0.625, 0.625, 0.625)
Ir (0.125, 0.625, 0.625)
Ir (0.625, 0.125, 0.625)

=====

These records have uncorrected energy values of -9.473; -9.882; -9.356; -9.288; -8.645; -8.836 eV/atom, in the order they appear.
These records have N(E_F) values of 5.013; 4.276; 7.223; 3.252; 9.229; 7.186 states/eV/f.u., in the order they appear.